Tb2SmDy12 | PBE | optimized geometry

It has space group C2/m (No. 12), with a = 7.100 Å, b = 11.161 Å, c = 24.345 Å, α = 90.00°, β = 94.16° and γ = 90.00°. The distinct sites, in fractional coordinates, are Tb at (0.067, 0.000, 0.272), Tb at (0.068, 0.500, 0.272), Sm at (0.250, 0.000, 0.000), Dy at (0.017, 0.250, 0.074), Dy at (0.112, 0.250, 0.445), Dy at (0.143, 0.000, 0.574), Dy at (0.143, 0.500, 0.574), Dy at (0.168, 0.250, 0.670), Dy at (0.201, 0.249, 0.798), Dy at (0.217, 0.000, 0.863) and Dy at (0.217, 0.500, 0.862).

The calculation puts the formation energy at 0.112 eV/atom. The value obtained for the density of states at the Fermi level is 94.00 states/eV/cell. Its theoretical density is 8.3 g cm⁻³. The value obtained for the total moment is 0.0 μB/cell.



Tb3Sm2Dy6 | PBE | optimized geometry

It has space group I4/mmm (No. 139), with a = 4.729 Å, b = 4.729 Å, c = 33.230 Å, α = 90.00°, β = 90.00° and γ = 90.00°. The distinct sites, in fractional coordinates, are Tb at (0.000, 0.000, 0.000), Tb at (0.000, 0.000, 0.201), Sm at (0.000, 0.000, 0.454), Dy at (0.000, 0.000, 0.304) and Dy at (0.000, 0.500, 0.122).

The calculation puts the formation energy at 0.274 eV/atom. The value obtained for the density of states at the Fermi level is 32.32 states/eV/cell. Its offset from the most stable computed form is 258 meV/atom. Its theoretical density is 7.8 g cm⁻³. The value obtained for the total moment is 0.0 μB/cell.



TbSm4Dy5 | PBE | optimized geometry

It has space group C2/m (No. 12), with a = 17.219 Å, b = 3.536 Å, c = 11.108 Å, α = 90.00°, β = 90.03° and γ = 90.00°. The distinct sites, in fractional coordinates, are Tb at (0.000, 0.000, 0.000), Sm at (0.029, 0.500, 0.750), Sm at (0.154, 0.000, 0.250), Dy at (0.000, 0.000, 0.500), Dy at (0.174, 0.500, 0.552) and Dy at (0.174, 0.500, 0.947).

The calculation puts the formation energy at 0.186 eV/atom. The value obtained for the density of states at the Fermi level is 27.23 states/eV/cell. Its offset from the most stable computed form is 0 meV/atom. Its theoretical density is 7.7 g cm⁻³. The value obtained for the total moment is 0.0 μB/cell.



TbSm2Dy2 | PBE | optimized geometry

It has space group C2/c (No. 15), with a = 9.197 Å, b = 13.381 Å, c = 6.059 Å, α = 90.00°, β = 112.43° and γ = 90.00°. The distinct sites, in fractional coordinates, are Tb at (0.000, 0.064, 0.250), Sm at (0.183, 0.427, 0.879), Dy at (0.000, 0.197, 0.750) and Dy at (0.000, 0.329, 0.250).

The calculation puts the formation energy at 0.275 eV/atom. The value obtained for the density of states at the Fermi level is 27.67 states/eV/cell. Its offset from the most stable computed form is 257 meV/atom. Its theoretical density is 7.6 g cm⁻³. The value obtained for the total moment is 0.0 μB/cell.



Tb2Sm12Dy5 | PBE | optimized geometry

It has space group C2/m (No. 12), with a = 15.677 Å, b = 10.271 Å, c = 7.952 Å, α = 90.00°, β = 91.61° and γ = 90.00°. The distinct sites, in fractional coordinates, are Tb at (0.000, 0.244, 0.000), Sm at (0.052, 0.500, 0.709), Sm at (0.106, 0.274, 0.389), Sm at (0.150, 0.000, 0.118), Sm at (0.192, 0.232, 0.795), Dy at (0.000, 0.000, 0.500), Dy at (0.150, 0.500, 0.085) and Dy at (0.245, 0.000, 0.489).

The calculation puts the formation energy at 0.132 eV/atom. The value obtained for the density of states at the Fermi level is 52.29 states/eV/cell. Its offset from the most stable computed form is 8 meV/atom. Its theoretical density is 7.6 g cm⁻³. The value obtained for the total moment is 0.0 μB/cell.



Tb5SmDy2 | PBE | optimized geometry

It has space group Pbam (No. 55), with a = 7.134 Å, b = 14.268 Å, c = 5.031 Å, α = 90.00°, β = 90.00° and γ = 90.00°. The distinct sites, in fractional coordinates, are Tb at (0.000, 0.000, 0.000), Tb at (0.000, 0.250, 0.000), Tb at (0.249, 0.125, 0.500), Sm at (0.000, 0.500, 0.000) and Dy at (0.250, 0.375, 0.500).

The calculation puts the formation energy at 0.014 eV/atom. The value obtained for the density of states at the Fermi level is 19.95 states/eV/cell. Its offset from the most stable computed form is 0 meV/atom. Its theoretical density is 8.2 g cm⁻³. The value obtained for the total moment is 0.0 μB/cell.



Tb5SmDy6 | PBE | optimized geometry

It has space group C2/m (No. 12), with a = 6.160 Å, b = 10.662 Å, c = 11.781 Å, α = 90.00°, β = 99.98° and γ = 90.00°. The distinct sites, in fractional coordinates, are Tb at (0.000, 0.000, 0.000), Tb at (0.000, 0.167, 0.500), Tb at (0.000, 0.333, 0.000), Sm at (0.000, 0.500, 0.500), Dy at (0.250, 0.000, 0.751) and Dy at (0.250, 0.167, 0.249).

The calculation puts the formation energy at 0.014 eV/atom. The value obtained for the density of states at the Fermi level is 30.44 states/eV/cell. Its theoretical density is 8.4 g cm⁻³. The value obtained for the total moment is 0.0 μB/cell.



Tb3Sm3Dy5 | PBE | optimized geometry

It has space group P-62m (No. 189), with a = 9.6582 Å, b = 9.6582 Å, c = 5.4808 Å, α = 90.00°, β = 90.00° and γ = 120.00°. The distinct sites, in fractional coordinates, are Tb at (0.0000, 0.5508, 0.0000), Sm at (0.0000, 0.3651, 0.5000), Dy at (0.0000, 0.7306, 0.5000) and Dy at (0.3333, 0.6667, 0.5000).

The calculation puts the formation energy at 0.805 eV/atom. The value obtained for the density of states at the Fermi level is 17.95 states/eV/cell. Its theoretical density is 6.5 g cm⁻³. The value obtained for the total moment is 0.0 μB/cell.